Here is UPd3 at its PBEsol-relaxed geometry from Alexandria via LeMat-Bulk. Energies are from SCAN.

abc: 4.898 5.641 5.641
angles: 120.00 90.00 90.00
Last column: magnetic moment on the atom in μB.
Atoms (fractional coordinates):
Pd 0.250 0.836 0.672  0.02
Pd 0.250 0.328 0.164  0.02
Pd 0.750 0.672 0.836  0.02
Pd 0.750 0.164 0.328  0.02
Pd 0.250 0.836 0.164  0.02
Pd 0.750 0.164 0.836  0.02
U 0.750 0.667 0.333  1.76
U 0.250 0.333 0.667  1.76

Results
volume: 16.9 Å³/atom
M_tot: 1.9 μB/f.u.
formation enthalpy at 0 K: -443 meV/atom